Record 1
A plane-wave DFT calculation with PBE was carried out for crystalline LiCr2Ag at its relaxed geometry.

Cell and atoms, written as CIF:
```
data_LiCr2Ag
_cell_length_a 4.692
_cell_length_b 9.110
_cell_length_c 2.512
_cell_angle_alpha 90.00
_cell_angle_beta 90.00
_cell_angle_gamma 90.00
_symmetry_space_group_name_H-M 'C m m m'
_symmetry_Int_Tables_number 65
_symmetry_space_group_name_Hall '-C 2 2'
loop_
_atom_site_label
_atom_site_type_symbol
_atom_site_fract_x
_atom_site_fract_y
_atom_site_fract_z
Li1 Li 0.000 0.000 0.000
Cr1 Cr 0.250 0.250 0.500
Ag1 Ag 0.000 0.500 0.000
```

Results
The electronic total energy is -5.4259 eV/atom. Its crystal system is orthorhombic. For the energy above the lowest structure with this stoichiometry, the calculation gives 308 meV/atom.

***

Record 2
A plane-wave DFT calculation with PBE was carried out for crystalline Li2CrAg at its relaxed geometry.

Cell and atoms, written as CIF:
```
data_Li2CrAg
_cell_length_a 4.036
_cell_length_b 4.036
_cell_length_c 8.127
_cell_angle_alpha 90.00
_cell_angle_beta 90.00
_cell_angle_gamma 90.00
_symmetry_space_group_name_H-M 'I 4/m m m'
_symmetry_Int_Tables_number 139
_symmetry_space_group_name_Hall '-I 4 2'
loop_
_atom_site_label
_atom_site_type_symbol
_atom_site_fract_x
_atom_site_fract_y
_atom_site_fract_z
Li1 Li 0.000 0.500 0.250
Cr1 Cr 0.000 0.000 0.000
Ag1 Ag 0.000 0.000 0.500
```

Results
The electronic total energy is -3.8479 eV/atom. Its crystal system is tetragonal. For the energy above the lowest structure with this stoichiometry, the calculation gives 6 meV/atom.

***

Record 3
A plane-wave DFT calculation with PBE was carried out for crystalline LiCr2Ag at its relaxed geometry.

Cell and atoms, written as CIF:
```
data_LiCr2Ag
_cell_length_a 2.6166
_cell_length_b 2.6166
_cell_length_c 28.6820
_cell_angle_alpha 90.00
_cell_angle_beta 90.00
_cell_angle_gamma 120.00
_symmetry_space_group_name_H-M 'R -3 m'
_symmetry_Int_Tables_number 166
_symmetry_space_group_name_Hall '-R 3 2"'
loop_
_atom_site_label
_atom_site_type_symbol
_atom_site_fract_x
_atom_site_fract_y
_atom_site_fract_z
Li1 Li 0.0000 0.0000 0.0000
Cr1 Cr 0.0000 0.0000 0.2505
Ag1 Ag 0.0000 0.0000 0.5000
```

Results
The electronic total energy is -5.2796 eV/atom. Its crystal system is trigonal. For the energy above the lowest structure with this stoichiometry, the calculation gives 454 meV/atom.